This record from the Open Quantum Materials Database describes ScCuGeTe2S after structural relaxation. The functional is PBE-GGA.

Structure (POSCAR):
```
ScCuGeTe2S
1.0
-0.2098 1.7363 -7.2426
-2.9565 0.6138 6.8115
5.4971 7.7164 1.6906
Te Cu Ge S Sc
4 2 2 2 2
direct
0.3502 0.6498 0.5539 Te
0.3502 0.6498 0.9461 Te
0.6498 0.3502 0.4461 Te
0.6498 0.3502 0.0539 Te
0.4825 0.5175 0.7500 Cu
0.5175 0.4825 0.2500 Cu
0.2396 0.7604 0.2500 Ge
0.7604 0.2396 0.7500 Ge
0.0646 0.9354 0.7500 S
0.9354 0.0646 0.2500 S
0.0000 0.0000 0.5000 Sc
0.0000 0.0000 0.0000 Sc
```

Properties
mass density	5674	kg/m3
V	274.2	Å³/cell
crystal system	orthorhombic
VASP energy	-57.15	eV for the cell shown

This record from the Open Quantum Materials Database describes Dy2TmCdIr4 after structural relaxation. The functional is PBE-GGA.

Structure (POSCAR):
```
Dy2TmCdIr4
1.0
4.7526 0.0000 0.0000
0.0000 4.7526 0.0000
0.0000 0.0000 6.7513
Ir Tm Dy Cd
4 1 2 1
direct
0.0000 0.5000 0.2461 Ir
0.5000 0.0000 0.7539 Ir
0.5000 0.0000 0.2461 Ir
0.0000 0.5000 0.7539 Ir
0.5000 0.5000 0.0000 Tm
0.5000 0.5000 0.5000 Dy
0.0000 0.0000 0.0000 Dy
0.0000 0.0000 0.5000 Cd
```

Properties
DFT formation energy	-0.60	eV/atom
mass density	14975	kg/m3
V	152.5	Å³/cell
crystal system	tetragonal
VASP energy	-54.78	eV for the cell shown

This record from the Open Quantum Materials Database describes AcBeAu after structural relaxation. The functional is PBE-GGA.

Structure (POSCAR):
```
AcBeAu
1.0
0.0000 3.3493 3.3493
3.3493 0.0000 3.3493
3.3493 3.3493 0.0000
Au Ac Be
1 1 1
direct
0.7500 0.7500 0.7500 Au
0.2500 0.2500 0.2500 Ac
0.0000 0.0000 0.0000 Be
```

Properties
mass density	9568	kg/m3
V	75.1	Å³/cell
crystal system	cubic
VASP energy	-11.14	eV for the cell shown

This record from the Open Quantum Materials Database describes Nd2SeN after structural relaxation. The functional is PBE-GGA.

Structure (POSCAR):
```
Nd2SeN
1.0
-1.5495 0.5718 -3.4459
-3.6204 -1.0276 -0.6620
-0.3797 6.2897 3.3314
N Se Nd
1 1 2
direct
0.0000 0.0000 0.0000 N
0.5000 0.5000 0.5000 Se
0.2662 0.2662 0.7983 Nd
0.7338 0.7338 0.2017 Nd
```

Properties
mass density	7391	kg/m3
V	85.7	Å³/cell
crystal system	trigonal
VASP energy	-27.76	eV for the cell shown

This record from the Open Quantum Materials Database describes Pr2NiGe2Au after structural relaxation. The functional is PBE-GGA.

Structure (POSCAR):
```
Pr2NiGe2Au
1.0
-3.0631 0.5347 -3.0083
-0.9671 -1.9199 3.7546
-1.9265 7.3678 3.2713
Pr Au Ge Ni
2 1 2 1
direct
0.6667 0.3333 0.7349 Pr
0.6667 0.3333 0.2651 Pr
0.0000 0.0000 0.0000 Au
0.0000 0.0000 0.5000 Ge
0.3333 0.6667 0.0000 Ge
0.3333 0.6667 0.5000 Ni
```

Properties
mass density	8438	kg/m3
V	134.4	Å³/cell
crystal system	hexagonal
VASP energy	-32.06	eV for the cell shown

This record from the Open Quantum Materials Database describes Y3Tm3NiTe2 after structural relaxation. The functional is PBE-GGA.

Structure (POSCAR):
```
Y3Tm3NiTe2
1.0
8.3612 0.0000 0.0000
-4.1806 7.2410 0.0000
0.0000 0.0000 3.8760
Tm Y Ni Te
3 3 1 2
direct
0.0000 0.4003 0.0000 Tm
0.4003 0.0000 0.0000 Tm
0.5997 0.5997 0.0000 Tm
0.0000 0.7587 0.5000 Y
0.7587 0.0000 0.5000 Y
0.2413 0.2413 0.5000 Y
0.0000 0.0000 0.0000 Ni
0.3333 0.6667 0.5000 Te
0.6667 0.3333 0.5000 Te
```

Properties
mass density	7695	kg/m3
V	234.7	Å³/cell
crystal system	hexagonal
VASP energy	-50.70	eV for the cell shown
relative energy among the computed polymorphs	56	meV per atom

This record from the Open Quantum Materials Database describes LiNbSn after structural relaxation. The functional is PBE-GGA.

Structure (POSCAR):
```
LiNbSn
1.0
1.1038 -0.9048 4.3537
-2.7215 1.4285 3.3977
-2.4517 -3.0354 2.4015
Nb Li Sn
1 1 1
direct
0.0000 0.0000 0.0000 Nb
0.2500 0.2500 0.2500 Li
0.7500 0.7500 0.7500 Sn
```

Properties
mass density	5337	kg/m3
V	68.0	Å³/cell
crystal system	cubic
VASP energy	-14.20	eV for the cell shown

This record from the Open Quantum Materials Database describes DyFe2Ni after structural relaxation. The functional is PBE-GGA.

Structure (POSCAR):
```
DyFe2Ni
1.0
2.4917 1.4386 8.2850
-2.4917 1.4386 8.2850
0.0000 -2.8771 8.2850
Ni Dy Fe
3 3 6
direct
0.5000 0.5000 0.5000 Ni
0.3330 0.3330 0.3330 Ni
0.6670 0.6670 0.6670 Ni
0.1418 0.1418 0.1418 Dy
0.0000 0.0000 0.0000 Dy
0.8582 0.8582 0.8582 Dy
0.5823 0.5823 0.0806 Fe
0.0806 0.5823 0.5823 Fe
0.5823 0.0806 0.5823 Fe
0.4177 0.4177 0.9194 Fe
0.9194 0.4177 0.4177 Fe
0.4177 0.9194 0.4177 Fe
```

Properties
DFT formation energy	-0.15	eV/atom
mass density	9307	kg/m3
V	178.2	Å³/cell
crystal system	trigonal
VASP energy	-82.20	eV for the cell shown

This record from the Open Quantum Materials Database describes LiTa2 after structural relaxation. The functional is PBE-GGA.

Structure (POSCAR):
```
LiTa2
1.0
-1.2807 -5.3458 0.1356
-5.2535 -1.5578 0.4590
-2.5625 -2.3226 -4.2750
Ta Li
4 2
direct
0.6250 0.6250 0.1250 Ta
0.6250 0.1250 0.6250 Ta
0.1250 0.6250 0.6250 Ta
0.6250 0.6250 0.6250 Ta
0.0000 0.0000 0.0000 Li
0.2500 0.2500 0.2500 Li
```

Properties
mass density	10419	kg/m3
V	117.6	Å³/cell
crystal system	cubic
VASP energy	-47.01	eV for the cell shown

This record from the Open Quantum Materials Database describes BaNa2Cd2 after structural relaxation. The functional is PBE-GGA.

Structure (POSCAR):
```
BaNa2Cd2
1.0
-2.4814 2.4814 6.7590
2.4814 -2.4814 6.7590
2.4814 2.4814 -6.7590
Na Cd Ba
2 2 1
direct
0.7500 0.2500 0.5000 Na
0.2500 0.7500 0.5000 Na
0.3939 0.3939 0.0000 Cd
0.6061 0.6061 0.0000 Cd
0.0000 0.0000 0.0000 Ba
```

Properties
mass density	4071	kg/m3
V	166.5	Å³/cell
crystal system	tetragonal
VASP energy	-7.05	eV for the cell shown

This record from the Open Quantum Materials Database describes ScZnCoW after structural relaxation. The functional is PBE-GGA.

Structure (POSCAR):
```
ScZnCoW
1.0
0.0000 3.1104 3.1104
3.1104 0.0000 3.1104
3.1104 3.1104 0.0000
Co Sc Zn W
1 1 1 1
direct
0.7500 0.7500 0.7500 Co
0.2500 0.2500 0.2500 Sc
0.0000 0.0000 0.0000 Zn
0.5000 0.5000 0.5000 W
```

Properties
DFT formation energy	0.29	eV/atom
mass density	9743	kg/m3
V	60.2	Å³/cell
crystal system	cubic
VASP energy	-26.49	eV for the cell shown
relative energy among the computed polymorphs	0	meV per atom

This record from the Open Quantum Materials Database describes NbTc2Sn after structural relaxation. The functional is PBE-GGA.

Structure (POSCAR):
```
NbTc2Sn
1.0
2.2567 -3.9087 0.0000
2.2567 3.9087 0.0000
0.0000 0.0000 8.1113
Tc Sn Nb
4 2 2
direct
0.3333 0.6667 0.8973 Tc
0.6667 0.3333 0.3973 Tc
0.3333 0.6667 0.6027 Tc
0.6667 0.3333 0.1027 Tc
0.0000 0.0000 0.0000 Sn
0.0000 0.0000 0.5000 Sn
0.3333 0.6667 0.2500 Nb
0.6667 0.3333 0.7500 Nb
```

Properties
mass density	9461	kg/m3
V	143.1	Å³/cell
crystal system	hexagonal
VASP energy	-69.16	eV for the cell shown

This record from the Open Quantum Materials Database describes CoTcAgBi after structural relaxation. The functional is PBE-GGA.

Structure (POSCAR):
```
CoTcAgBi
1.0
0.0000 3.2242 3.2242
3.2242 0.0000 3.2242
3.2242 3.2242 0.0000
Co Tc Ag Bi
1 1 1 1
direct
0.7500 0.7500 0.7500 Co
0.2500 0.2500 0.2500 Tc
0.5000 0.5000 0.5000 Ag
0.0000 0.0000 0.0000 Bi
```

Properties
mass density	11737	kg/m3
V	67.0	Å³/cell
crystal system	cubic
VASP energy	-21.80	eV for the cell shown
relative energy among the computed polymorphs	0	meV per atom

This record from the Open Quantum Materials Database describes IrPbC after structural relaxation. The functional is PBE-GGA.

Structure (POSCAR):
```
IrPbC
1.0
-3.1711 0.9385 0.6191
0.7978 -1.3807 -2.9626
-3.1918 -14.7532 6.0158
C Ir Pb
3 3 3
direct
0.0000 0.0000 0.3724 C
0.0000 0.0000 0.6990 C
0.3333 0.6667 0.2729 C
0.6667 0.3333 0.7150 Ir
0.6667 0.3333 0.0141 Ir
0.6667 0.3333 0.3379 Ir
0.0000 0.0000 0.5259 Pb
0.3333 0.6667 0.1346 Pb
0.3333 0.6667 0.8842 Pb
```

Properties
mass density	12866	kg/m3
V	159.3	Å³/cell
crystal system	trigonal
VASP energy	-57.10	eV for the cell shown
relative energy among the computed polymorphs	0	meV per atom

This record from the Open Quantum Materials Database describes AlNiIr2 after structural relaxation. The functional is PBE-GGA.

Structure (POSCAR):
```
AlNiIr2
1.0
0.0000 3.0193 3.0193
3.0193 0.0000 3.0193
3.0193 3.0193 0.0000
Ni Ir Al
1 2 1
direct
0.2500 0.2500 0.2500 Ni
0.0000 0.0000 0.0000 Ir
0.7500 0.7500 0.7500 Ir
0.5000 0.5000 0.5000 Al
```

Properties
mass density	14181	kg/m3
V	55.0	Å³/cell
crystal system	cubic
VASP energy	-27.63	eV for the cell shown

This record from the Open Quantum Materials Database describes Nd2Dy2CBr3Cl2 after structural relaxation. The functional is PBE-GGA.

Structure (POSCAR):
```
Nd2Dy2CBr3Cl2
1.0
-2.2827 -8.5740 -2.1848
0.9303 -8.0175 -4.2840
4.6909 -0.9808 6.9194
Nd Cl Br C Dy
2 2 3 1 2
direct
0.0004 0.0004 0.2066 Nd
0.9996 0.9996 0.7934 Nd
0.1646 0.1646 0.3055 Cl
0.8354 0.8354 0.6945 Cl
0.1736 0.1736 0.8432 Br
0.8264 0.8264 0.1568 Br
0.5000 0.5000 0.5000 Br
0.5000 0.5000 0.0000 C
0.3616 0.3616 0.9275 Dy
0.6384 0.6384 0.0725 Dy
```

Properties
mass density	5482	kg/m3
V	283.5	Å³/cell
crystal system	monoclinic
VASP energy	-52.06	eV for the cell shown
relative energy among the computed polymorphs	0	meV per atom

This record from the Open Quantum Materials Database describes CsLiPr after structural relaxation. The functional is PBE-GGA.

Structure (POSCAR):
```
CsLiPr
1.0
-2.6879 -1.9781 -5.0925
-2.0576 -1.8213 5.4333
-6.9189 8.6674 0.2852
Pr Cs Li
3 3 3
direct
0.6667 0.3333 0.7583 Pr
0.6667 0.3333 0.2156 Pr
0.3333 0.6667 0.5075 Pr
0.0000 0.0000 0.9929 Cs
0.0000 0.0000 0.3301 Cs
0.0000 0.0000 0.6585 Cs
0.3333 0.6667 0.8404 Li
0.3333 0.6667 0.1631 Li
0.6667 0.3333 0.4896 Li
```

Properties
mass density	3927	kg/m3
V	356.2	Å³/cell
crystal system	trigonal
VASP energy	-17.07	eV for the cell shown
relative energy among the computed polymorphs	0	meV per atom

This record from the Open Quantum Materials Database describes NaTcO3 after structural relaxation. The functional is PBE-GGA.

Structure (POSCAR):
```
NaTcO3
1.0
-2.6809 4.6434 0.0000
2.6809 4.6434 0.0000
0.0000 3.0956 -4.9655
O Tc Na
6 2 2
direct
0.4652 0.6834 0.7897 O
0.3166 0.9383 0.2103 O
0.0617 0.4652 0.7897 O
0.5348 0.3166 0.2103 O
0.9383 0.5348 0.2103 O
0.6834 0.0617 0.7897 O
0.3395 0.3395 0.9816 Tc
0.6605 0.6605 0.0184 Tc
0.1353 0.1353 0.5940 Na
0.8647 0.8647 0.4060 Na
```

Properties
mass density	4540	kg/m3
V	123.6	Å³/cell
crystal system	trigonal
VASP energy	-67.97	eV for the cell shown

This record from the Open Quantum Materials Database describes YFeHgSb after structural relaxation. The functional is PBE-GGA.

Structure (POSCAR):
```
YFeHgSb
1.0
4.7910 1.4371 -0.1099
1.5971 3.6186 3.0635
3.0339 -1.1137 3.8191
Fe Hg Sb Y
1 1 1 1
direct
0.7500 0.7500 0.7500 Fe
0.2500 0.2500 0.2500 Hg
0.0000 0.0000 0.0000 Sb
0.5000 0.5000 0.5000 Y
```

Properties
mass density	8759	kg/m3
V	88.6	Å³/cell
crystal system	cubic
VASP energy	-18.99	eV for the cell shown
relative energy among the computed polymorphs	120	meV per atom

This record from the Open Quantum Materials Database describes Tm3Ge4 after structural relaxation. The functional is PBE-GGA.

Structure (POSCAR):
```
Tm3Ge4
1.0
0.7363 1.5360 -5.3876
-2.7331 -3.9896 2.9224
-11.3705 8.4068 0.8428
Tm Ge
6 8
direct
0.9521 0.0479 0.7500 Tm
0.0479 0.9521 0.2500 Tm
0.6684 0.3316 0.5969 Tm
0.3316 0.6684 0.0969 Tm
0.3316 0.6684 0.4031 Tm
0.6684 0.3316 0.9031 Tm
0.2221 0.7779 0.7500 Ge
0.6209 0.3791 0.1084 Ge
0.0000 0.0000 0.5000 Ge
0.7779 0.2221 0.2500 Ge
0.3791 0.6209 0.8916 Ge
0.0000 0.0000 0.0000 Ge
0.3791 0.6209 0.6084 Ge
0.6209 0.3791 0.3916 Ge
```

Properties
mass density	8823	kg/m3
V	300.1	Å³/cell
crystal system	orthorhombic
VASP energy	-74.40	eV for the cell shown